(1)
PPtSe3 (PBE, optimized geometry); crystal system = cubic; electronic total energy = -3.501 eV/atom; ΔE to the lowest computed polymorph = 0.055 eV/atom
1.0
4.737 0.000 0.000
0.000 4.737 0.000
0.000 0.000 4.737
P Pt Se
1 1 3
direct
0.000 0.000 0.000 P
0.500 0.500 0.500 Pt
0.000 0.000 0.500 Se
0.000 0.500 0.000 Se
0.500 0.000 0.000 Se



(2)
SrZn2Pt8 (PBE, optimized geometry); crystal system = tetragonal; electronic total energy = -4.820 eV/atom; E_form = -42.5 meV/atom
1.0
5.237 0.000 0.000
0.000 5.237 0.000
0.000 0.000 9.004
Sr Zn Pt
1 2 8
direct
0.000 0.000 0.000 Sr
0.000 0.500 0.500 Zn
0.500 0.000 0.500 Zn
0.251 0.251 0.288 Pt
0.251 0.251 0.712 Pt
0.251 0.749 0.288 Pt
0.251 0.749 0.712 Pt
0.749 0.251 0.288 Pt
0.749 0.251 0.712 Pt
0.749 0.749 0.288 Pt
0.749 0.749 0.712 Pt



(3)
NdPuH (PBE, optimized geometry); crystal system = trigonal; electronic total energy = -7.544 eV/atom
1.0
3.566 0.000 0.000
-1.783 3.088 0.000
0.000 0.000 5.855
Nd Pu H
1 1 1
direct
0.000 0.000 0.000 Nd
0.333 0.667 0.491 Pu
0.667 0.333 0.256 H



(4)
RbPuN (PBE, optimized geometry); crystal system = orthorhombic; electronic total energy = -8.206 eV/atom
1.0
6.226 0.000 0.000
0.000 3.213 0.000
0.000 0.000 17.749
Rb Pu N
4 4 4
direct
0.250 0.250 0.083 Rb
0.250 0.750 0.583 Rb
0.750 0.250 0.417 Rb
0.750 0.750 0.917 Rb
0.249 0.250 0.291 Pu
0.251 0.750 0.791 Pu
0.749 0.250 0.209 Pu
0.751 0.750 0.709 Pu
0.001 0.250 0.750 N
0.499 0.750 0.250 N
0.501 0.250 0.750 N
0.999 0.750 0.250 N



Sequential total magnetization output: 0.00; 0.00; 6.05; 5.31 μB per formula unit